A plane-wave DFT calculation with PBE was carried out for crystalline Pm2SmDy4Y2 at its relaxed geometry.

Calculated values
Crystal system = monoclinic
Space-group type = No. 12
Total DFT energy (no corrections) = -5.0659 eV per atom
Theoretical density = 7.18 g/cm³

```
Pm2SmDy4Y2
1.0
-0.375 0.888 -3.482
1.798 -9.358 -0.705
-9.190 2.296 1.576
Dy Pm Y Sm
4 2 2 1
direct
0.481 0.962 0.665
0.185 0.371 0.336
0.519 0.038 0.335
0.815 0.629 0.664
0.334 0.667 0.999
0.666 0.333 0.001
0.853 0.706 0.336
0.147 0.294 0.664
0.000 0.000 0.000
```